Below is a relaxed structure of LiYTlRh, with properties calculated at the PBE level.

Cell: 4.800 4.800 4.800 Å, 60.00 60.00 60.00°
Atoms (fractional coordinates):
Y (0.000, 0.000, 0.000)
Tl (0.500, 0.500, 0.500)
Rh (0.250, 0.250, 0.250)
Li (0.750, 0.750, 0.750)

Results
N(E_F)	1.07	states/eV per atom
calculated total energy	-19.73	eV/cell
total magnetic moment	0.0	μB per formula unit
calculated formation energy	-408.2	meV per atom